Record 1
Mg2PtRh2: relaxed, PBE.

Unit cell a=3.7093 b=3.7093 c=12.3067 alpha=90.00 beta=90.00 gamma=90.00
Sites, in units of the cell vectors:
1 Mg 0.0000 0.5000 0.2500
2 Mg 0.0000 0.5000 0.7500
3 Mg 0.5000 0.0000 0.2500
4 Mg 0.5000 0.0000 0.7500
5 Pt 0.0000 0.0000 0.0000
6 Pt 0.5000 0.5000 0.5000
7 Rh 0.0000 0.0000 0.3999
8 Rh 0.0000 0.0000 0.6001
9 Rh 0.5000 0.5000 0.1001
10 Rh 0.5000 0.5000 0.8999

Calculated values
energy of formation from the pure elements	245	meV per atom
electronic total energy	-45.42	eV/cell
total magnetization	0.00	μB per atom

=====

Record 2
Mg2PtRh: relaxed, PBE.

Unit cell a=2.8532 b=4.1151 c=5.4758 alpha=90.00 beta=90.00 gamma=90.00
Sites, in units of the cell vectors:
1 Mg 0.0000 0.0000 0.0000
2 Mg 0.5000 0.5000 0.3083
3 Pt 0.0000 0.0000 0.5107
4 Rh 0.5000 0.5000 0.8022

Calculated values
energy of formation from the pure elements	-470	meV per atom
electronic total energy	-18.46	eV/cell
total magnetization	0.00	μB per atom

=====

Record 3
Mg2PtRh: relaxed, PBE.

Unit cell a=8.6334 b=2.9504 c=5.1030 alpha=90.00 beta=101.16 gamma=90.00
Sites, in units of the cell vectors:
1 Mg 0.2493 0.0000 0.2465
2 Mg 0.2507 0.5000 0.7535
3 Mg 0.7493 0.5000 0.2465
4 Mg 0.7507 0.0000 0.7535
5 Pt 0.0000 0.0000 0.5000
6 Pt 0.5000 0.5000 0.5000
7 Rh 0.0000 0.5000 0.0000
8 Rh 0.5000 0.0000 0.0000

Calculated values
energy of formation from the pure elements	-473	meV per atom
electronic total energy	-36.95	eV/cell
total magnetization	0.00	μB per atom

=====

Record 4
Mg4PtRh: relaxed, PBE.

Unit cell a=4.3845 b=4.3845 c=6.3155 alpha=90.00 beta=90.00 gamma=90.00
Sites, in units of the cell vectors:
1 Mg 0.0000 0.5000 0.2461
2 Mg 0.0000 0.5000 0.7539
3 Mg 0.5000 0.0000 0.2461
4 Mg 0.5000 0.0000 0.7539
5 Pt 0.0000 0.0000 0.5000
6 Rh 0.5000 0.5000 0.0000

Calculated values
energy of formation from the pure elements	-436	meV per atom
electronic total energy	-22.39	eV/cell
total magnetization	0.00	μB per atom

=====

Record 5
Mg4PtRh2: relaxed, PBE.

Unit cell a=7.4964 b=7.4964 c=7.4964 alpha=34.64 beta=34.64 gamma=34.64
Sites, in units of the cell vectors:
1 Mg 0.1190 0.1190 0.1190
2 Mg 0.3719 0.3719 0.3719
3 Mg 0.6281 0.6281 0.6281
4 Mg 0.8810 0.8810 0.8810
5 Pt 0.5000 0.5000 0.5000
6 Rh 0.2459 0.2459 0.2459
7 Rh 0.7541 0.7541 0.7541

Calculated values
energy of formation from the pure elements	-479	meV per atom
electronic total energy	-30.47	eV/cell
total magnetization	0.00	μB per atom

=====

Record 6
Mg6PtRh: relaxed, PBE.

Unit cell a=4.4867 b=4.4867 c=15.0636 alpha=90.00 beta=90.00 gamma=90.00
Sites, in units of the cell vectors:
1 Mg 0.0000 0.0000 0.2471
2 Mg 0.0000 0.0000 0.7529
3 Mg 0.0000 0.5000 0.1011
4 Mg 0.0000 0.5000 0.3989
5 Mg 0.0000 0.5000 0.6011
6 Mg 0.0000 0.5000 0.8989
7 Mg 0.5000 0.0000 0.1011
8 Mg 0.5000 0.0000 0.3989
9 Mg 0.5000 0.0000 0.6011
10 Mg 0.5000 0.0000 0.8989
11 Mg 0.5000 0.5000 0.2529
12 Mg 0.5000 0.5000 0.7471
13 Pt 0.0000 0.0000 0.5000
14 Pt 0.5000 0.5000 0.0000
15 Rh 0.0000 0.0000 0.0000
16 Rh 0.5000 0.5000 0.5000

Calculated values
energy of formation from the pure elements	-399	meV per atom
electronic total energy	-52.31	eV/cell
total magnetization	0.00	μB per atom

=====

Record 7
Mg2PtRh: relaxed, PBE.

Unit cell a=2.9556 b=2.9556 c=25.3530 alpha=90.00 beta=90.00 gamma=120.00
Sites, in units of the cell vectors:
1 Mg 0.0000 0.0000 0.2474
2 Mg 0.0000 0.0000 0.7526
3 Mg 0.3333 0.6667 0.4193
4 Mg 0.3333 0.6667 0.9141
5 Mg 0.6667 0.3333 0.0859
6 Mg 0.6667 0.3333 0.5807
7 Pt 0.0000 0.0000 0.0000
8 Pt 0.3333 0.6667 0.6667
9 Pt 0.6667 0.3333 0.3333
10 Rh 0.0000 0.0000 0.5000
11 Rh 0.3333 0.6667 0.1667
12 Rh 0.6667 0.3333 0.8333

Calculated values
energy of formation from the pure elements	-456	meV per atom
electronic total energy	-55.21	eV/cell
total magnetization	0.00	μB per atom

=====

Record 8
Mg5PtRh2: relaxed, PBE.

Unit cell a=5.5531 b=10.8924 c=4.3876 alpha=90.00 beta=90.00 gamma=90.00
Sites, in units of the cell vectors:
1 Mg 0.0000 0.0000 0.0000
2 Mg 0.1107 0.2646 0.0000
3 Mg 0.1744 0.6084 0.5000
4 Mg 0.3256 0.1084 0.5000
5 Mg 0.3893 0.7646 0.0000
6 Mg 0.5000 0.5000 0.0000
7 Mg 0.6107 0.2354 0.0000
8 Mg 0.6744 0.8916 0.5000
9 Mg 0.8256 0.3916 0.5000
10 Mg 0.8893 0.7354 0.0000
11 Pt 0.0000 0.5000 0.0000
12 Pt 0.5000 0.0000 0.0000
13 Rh 0.1658 0.8629 0.5000
14 Rh 0.3342 0.3629 0.5000
15 Rh 0.6658 0.6371 0.5000
16 Rh 0.8342 0.1371 0.5000

Calculated values
energy of formation from the pure elements	-525	meV per atom
electronic total energy	-65.83	eV/cell
total magnetization	0.00	μB per atom

=====

Record 9
Mg2PtRh: relaxed, PBE.

Unit cell a=6.9954 b=6.9954 c=5.6459 alpha=90.00 beta=90.00 gamma=90.00
Sites, in units of the cell vectors:
1 Mg 0.2490 0.2500 0.1250
2 Mg 0.2500 0.7490 0.3750
3 Mg 0.2500 0.7510 0.8750
4 Mg 0.2510 0.2500 0.6250
5 Mg 0.7490 0.7500 0.6250
6 Mg 0.7500 0.2490 0.8750
7 Mg 0.7500 0.2510 0.3750
8 Mg 0.7510 0.7500 0.1250
9 Pt 0.0000 0.0000 0.5000
10 Pt 0.0000 0.5000 0.7500
11 Pt 0.5000 0.0000 0.2500
12 Pt 0.5000 0.5000 0.0000
13 Rh 0.0000 0.0000 0.0000
14 Rh 0.0000 0.5000 0.2500
15 Rh 0.5000 0.0000 0.7500
16 Rh 0.5000 0.5000 0.5000

Calculated values
energy of formation from the pure elements	-203	meV per atom
electronic total energy	-69.58	eV/cell
total magnetization	0.00	μB per atom

=====

Record 10
MgPt6Rh: relaxed, PBE.

Unit cell a=5.5949 b=5.5949 c=3.9560 alpha=90.00 beta=90.00 gamma=90.00
Sites, in units of the cell vectors:
1 Mg 0.0000 0.0000 0.0000
2 Pt 0.0000 0.5000 0.0000
3 Pt 0.2517 0.2517 0.5000
4 Pt 0.2517 0.7483 0.5000
5 Pt 0.5000 0.0000 0.0000
6 Pt 0.7483 0.2517 0.5000
7 Pt 0.7483 0.7483 0.5000
8 Rh 0.5000 0.5000 0.0000

Calculated values
energy of formation from the pure elements	-286	meV per atom
electronic total energy	-47.48	eV/cell
total magnetization	0.28	μB per atom

=====

Record 11
Mg5Pt6Rh: relaxed, PBE.

Unit cell a=7.4639 b=7.4639 c=7.4639 alpha=148.08 beta=119.79 gamma=69.78
Sites, in units of the cell vectors:
1 Mg 0.0000 0.0000 0.0000
2 Mg 0.1705 0.6705 0.5000
3 Mg 0.3461 0.3461 0.0000
4 Mg 0.6539 0.6539 0.0000
5 Mg 0.8295 0.3295 0.5000
6 Pt 0.0783 0.8335 0.2448
7 Pt 0.2400 0.5000 0.7400
8 Pt 0.4113 0.1665 0.2448
9 Pt 0.5887 0.8335 0.7552
10 Pt 0.7600 0.5000 0.2600
11 Pt 0.9217 0.1665 0.7552
12 Rh 0.5000 0.0000 0.5000

Calculated values
energy of formation from the pure elements	-727	meV per atom
electronic total energy	-60.29	eV/cell
total magnetization	0.00	μB per atom

=====

Record 12
MgPt4Rh: relaxed, PBE.

Unit cell a=5.2466 b=5.2466 c=5.2466 alpha=60.00 beta=60.00 gamma=60.00
Sites, in units of the cell vectors:
1 Mg 0.0000 0.0000 0.0000
2 Pt 0.1255 0.6248 0.6248
3 Pt 0.6248 0.1255 0.6248
4 Pt 0.6248 0.6248 0.1255
5 Pt 0.6248 0.6248 0.6248
6 Rh 0.2500 0.2500 0.2500

Calculated values
energy of formation from the pure elements	-129	meV per atom
electronic total energy	-33.88	eV/cell
total magnetization	0.17	μB per atom